The following is a PBE-GGA calculation of crystalline SrPm6Se8 at its relaxed geometry, from Alexandria.

a b c (Å): 8.4015 8.4015 8.4015
angles (deg): 60.00 60.00 60.00
With the nearest neighbours (Å) after each atom.
Fractional coordinates of all 15 atoms:
Pm  0.5000  0.0000  0.0000  6 Se 2.97
Pm  0.5000  0.5000  0.0000  6 Se 2.97
Se  0.7430  0.7430  0.2570  4 Pm 2.97, 1 Sr 3.05
Se  0.2570  0.2570  0.7430  4 Pm 2.97, 1 Sr 3.05
Se  0.7500  0.7500  0.7500  6 Pm 2.97
Pm  0.0000  0.5000  0.0000  6 Se 2.97
Pm  0.0000  0.5000  0.5000  6 Se 2.97
Se  0.2500  0.2500  0.2500  6 Pm 2.97
Pm  0.0000  0.0000  0.5000  6 Se 2.97
Se  0.2570  0.7430  0.7430  4 Pm 2.97, 1 Sr 3.05
Sr  0.0000  0.0000  0.0000  6 Se 3.05
Pm  0.5000  0.0000  0.5000  6 Se 2.97
Se  0.7430  0.2570  0.2570  4 Pm 2.97, 1 Sr 3.05
Se  0.7430  0.2570  0.7430  4 Pm 2.97, 1 Sr 3.05
Se  0.2570  0.7430  0.2570  4 Pm 2.97, 1 Sr 3.05

## Properties
Magnetization: 0.0 Bohr magnetons per cell
Crystal system: cubic
DFT total energy: -86.36 eV per cell
Energy relative to the elements, uncorrected: -1.8862 eV/atom



The following is a PBE-GGA calculation of crystalline SrPm4Se6 at its relaxed geometry, from Alexandria.

a b c (Å): 4.2010 7.2361 21.5394
angles (deg): 90.00 90.00 106.87
With the nearest neighbours (Å) after each atom.
Fractional coordinates of all 22 atoms:
Se  0.0456  0.0912  0.1631  3 Pm 2.93-2.94, 2 Sr 3.22
Se  0.2303  0.4606  0.9124  5 Pm 2.96-3.03
Pm  0.1382  0.2764  0.0401  6 Se 2.94-3.03
Se  0.0456  0.0912  0.3369  3 Pm 2.93-2.94, 2 Sr 3.22
Se  0.2303  0.4606  0.5876  5 Pm 2.96-3.03
Pm  0.4074  0.8148  0.3708  6 Se 2.87-3.06
Sr  0.3410  0.6820  0.7500  6 Se 3.06-3.22
Se  0.7697  0.5394  0.0876  5 Pm 2.96-3.03
Pm  0.8618  0.7236  0.5401  6 Se 2.94-3.03
Sr  0.6590  0.3180  0.2500  6 Se 3.06-3.22
Se  0.9544  0.9088  0.6631  3 Pm 2.93-2.94, 2 Sr 3.22
Pm  0.5926  0.1852  0.8708  6 Se 2.87-3.06
Pm  0.5926  0.1852  0.6292  6 Se 2.87-3.06
Se  0.3201  0.6402  0.2500  2 Pm 2.87, 2 Sr 3.06
Se  0.7697  0.5394  0.4124  5 Pm 2.96-3.03
Pm  0.4074  0.8148  0.1292  6 Se 2.87-3.06
Se  0.5000  0.0000  0.0000  6 Pm 2.97-3.06
Pm  0.8618  0.7236  0.9599  6 Se 2.94-3.03
Se  0.5000  0.0000  0.5000  6 Pm 2.97-3.06
Se  0.6799  0.3598  0.7500  2 Pm 2.87, 2 Sr 3.06
Pm  0.1382  0.2764  0.4599  6 Se 2.94-3.03
Se  0.9544  0.9088  0.8369  3 Pm 2.93-2.94, 2 Sr 3.22

## Properties
Magnetization: 0.0 Bohr magnetons per cell
Crystal system: orthorhombic
DFT total energy: -125.05 eV per cell
Energy relative to the elements, uncorrected: -1.9029 eV/atom



The following is a PBE-GGA calculation of crystalline SrTbPm2Se4 at its relaxed geometry, from Alexandria.

a b c (Å): 4.1932 7.3352 7.3101
angles (deg): 70.97 90.00 90.00
With the nearest neighbours (Å) after each atom.
Fractional coordinates of all 8 atoms:
Sr  0.5000  0.5000  0.0000  6 Se 3.01-3.02
Tb  0.0000  0.5000  0.5000  6 Se 2.94-2.95
Pm  0.0000  0.0000  0.0000  6 Se 3.02
Se  0.5000  0.2543  0.7416  2 Tb 2.95, 3 Pm 2.96-3.02, 1 Sr 3.01
Se  0.0000  0.2478  0.2589  1 Tb 2.94, 3 Pm 2.95-3.02, 2 Sr 3.02
Se  0.0000  0.7522  0.7411  1 Tb 2.94, 3 Pm 2.95-3.02, 2 Sr 3.02
Se  0.5000  0.7457  0.2584  2 Tb 2.95, 3 Pm 2.96-3.02, 1 Sr 3.01
Pm  0.5000  0.0000  0.5000  6 Se 2.95-2.96

## Properties
Magnetization: 0.0 Bohr magnetons per cell
Crystal system: monoclinic
DFT total energy: -44.51 eV per cell
Energy relative to the elements, uncorrected: -1.8446 eV/atom



The following is a PBE-GGA calculation of crystalline SrTb3Pm2Se6 at its relaxed geometry, from Alexandria.

a b c (Å): 4.1522 8.4279 9.3591
angles (deg): 103.46 102.82 90.00
With the nearest neighbours (Å) after each atom.
Fractional coordinates of all 12 atoms:
Se  0.3378  0.4120  0.6756  3 Tb 2.87-2.88, 3 Pm 2.95-2.96
Pm  0.8282  0.6560  0.6565  6 Se 2.95-3.05
Tb  0.8329  0.1744  0.6657  6 Se 2.87-2.96
Se  0.6703  0.0780  0.3407  3 Tb 2.88-2.96, 1 Sr 3.02, 2 Pm 3.05
Se  0.3297  0.9220  0.6593  3 Tb 2.88-2.96, 1 Sr 3.02, 2 Pm 3.05
Tb  0.1671  0.8256  0.3343  6 Se 2.87-2.96
Se  0.0003  0.7395  0.0005  3 Tb 2.89-2.96, 2 Sr 3.02, 1 Pm 3.05
Se  0.6622  0.5880  0.3244  3 Tb 2.87-2.88, 3 Pm 2.95-2.96
Se  0.9997  0.2605  0.9995  3 Tb 2.89-2.96, 2 Sr 3.02, 1 Pm 3.05
Pm  0.1718  0.3440  0.3435  6 Se 2.95-3.05
Tb  0.5000  0.5000  0.0000  6 Se 2.88-2.89
Sr  0.5000  0.0000  0.0000  6 Se 3.02

## Properties
Magnetization: 0.0 Bohr magnetons per cell
Crystal system: monoclinic
DFT total energy: -67.97 eV per cell
Energy relative to the elements, uncorrected: -1.8322 eV/atom



Q: What is the formula in the third record?
A: SrTbPm2Se4



Q: Which of these has the lowest energy relative to the elements, uncorrected?
A: SrPm4Se6